PaAg2O3F3 | GGA-PBE | relaxed

It has space group P-62m (No. 189), with a = 5.9047 Å, b = 5.9047 Å, c = 3.7935 Å, α = 90.00°, β = 90.00° and γ = 120.00°. Symmetry generates all atoms from Pa at (0.0000, 0.0000, 0.0000), Ag at (0.3333, 0.6667, 0.5000), O at (0.0000, 0.7511, 0.5000) and F at (0.0000, 0.3764, 0.0000).

The crystal system is hexagonal. For the volume, the calculation gives 114.54 Å³/f.u.

---

KTi2O4 | GGA-PBE | relaxed

It has space group Fd-3m (No. 227, origin choice 2), with a = 9.032 Å, b = 9.032 Å, c = 9.032 Å, α = 90.00°, β = 90.00° and γ = 90.00°. Symmetry generates all atoms from K at (0.125, 0.125, 0.125), Ti at (0.000, 0.000, 0.500) and O at (0.025, 0.025, 0.725).

The crystal system is cubic. For the volume, the calculation gives 92.11 Å³/f.u. The value obtained for the energy above the most stable polymorph in this dataset is 108 meV/atom.

---

| no. | Fermi-level density of states (states/eV per atom) | size of the total moment (μB per formula unit) | E (eV per atom) |
| --- | --- | --- | --- |
| 1 | 0.550 | 0.93 | -5.877 |
| 2 | 0.382 | 0.45 | -7.799 |